## CaCuAs2 (PBE)

Data for a relaxed CaCuAs2 crystal.

Total magnetic moment, μB per formula unit: 0.00
ΔH_f (0 K), eV/atom: -0.2389

a b c (Å): 3.6268 3.6234 6.0401
angles (deg): 90.00 90.00 90.00
Last column: nearest neighbours and their distance in Å.
Atoms (fractional coordinates):
Ca  0.5000  0.5000  0.2500  2 Cu 3.02, 8 As 3.13
As  0.0000  0.0000  0.9526  1 As 2.45
Cu  0.5000  0.5000  0.7500  8 As 2.84, 2 Ca 3.02
As  0.0000  0.0000  0.5474  1 As 2.45